1.
! PBE Mg5InHg, relaxed; values from VASP
! Volume = 23.5 Å³ per atom
! Formation enthalpy at 0 K = -0.077 eV per atom
! M_tot = 0.0 μB/cell
! Electronic total energy = -1.650 eV per atom
&SYSTEM
  ibrav = 0, nat = 14, ntyp = 3
/
ATOMIC_SPECIES
Mg 24.30 Mg.upf
In 114.82 In.upf
Hg 200.59 Hg.upf
CELL_PARAMETERS angstrom
4.7319 -0.2526 0.0024
0.2512 4.7320 0.0024
-0.0073 -0.0065 14.6254
ATOMIC_POSITIONS angstrom
Mg 2.3592 -0.1306 12.9030
Mg 2.6146 4.6018 5.5926
Mg 0.1242 2.3630 5.5902
Mg 4.7262 -0.2572 10.9714
Mg 0.1260 2.3648 1.7248
Mg 4.8498 2.1081 12.9053
Mg 0.2496 4.7300 3.6587
Mg 4.8515 2.1098 9.0399
Mg 2.3611 -0.1290 9.0375
Mg 2.6165 4.6034 1.7272
In 0.0000 0.0000 0.0000
In -0.0036 -0.0033 7.3127
Hg 2.4850 2.2360 10.9714
Hg 2.4908 2.2368 3.6587

***

2.
! PBE TaO2F, relaxed; values from VASP
! Volume = 8.6 Å³ per atom
! M_tot = 0.0 μB/cell
! Electronic total energy = -7.889 eV per atom
&SYSTEM
  ibrav = 0, nat = 4, ntyp = 3
/
ATOMIC_SPECIES
F 19.00 F.upf
O 16.00 O.upf
Ta 180.95 Ta.upf
CELL_PARAMETERS angstrom
2.6292 0.8539 2.3843
-0.8705 1.4489 3.2357
0.4076 -1.9656 3.0492
ATOMIC_POSITIONS angstrom
F 0.0000 0.0000 0.0000
O 0.5416 0.0843 2.1673
O 1.6247 0.2529 6.5019
Ta 1.0832 0.1686 4.3346

***

3.
! PBE Ac2LaPr3, relaxed; values from VASP
! Volume = 39.2 Å³ per atom
! Formation enthalpy at 0 K = 0.020 eV per atom
! M_tot = 0.0 μB/cell
! Electronic total energy = -4.560 eV per atom
&SYSTEM
  ibrav = 0, nat = 6, ntyp = 3
/
ATOMIC_SPECIES
Ac 227.00 Ac.upf
La 138.91 La.upf
Pr 140.91 Pr.upf
CELL_PARAMETERS angstrom
-1.8716 1.5890 2.9546
0.0845 -3.3599 1.8604
13.9015 4.0266 6.6407
ATOMIC_POSITIONS angstrom
Ac 10.6425 2.4559 7.9182
Ac 1.4719 -0.2003 3.5375
La 6.0572 1.1278 5.7278
Pr 0.0000 0.0000 0.0000
Pr 9.1687 2.6557 4.3798
Pr 4.7329 1.3709 2.2609

***

4.
! PBE CsNaTl2Co, relaxed; values from VASP
! Volume = 31.2 Å³ per atom
! Formation enthalpy at 0 K = 0.181 eV per atom
! M_tot = 0.0 μB/cell
! Electronic total energy = -2.621 eV per atom
&SYSTEM
  ibrav = 0, nat = 5, ntyp = 4
/
ATOMIC_SPECIES
Cs 132.91 Cs.upf
Na 22.99 Na.upf
Tl 204.38 Tl.upf
Co 58.93 Co.upf
CELL_PARAMETERS angstrom
5.1688 0.0000 0.0000
0.0000 5.1688 0.0000
0.0000 0.0000 5.8459
ATOMIC_POSITIONS angstrom
Cs 2.5844 2.5844 2.9229
Na 0.0000 0.0000 2.9229
Tl 0.0000 2.5844 0.0000
Tl 2.5844 0.0000 0.0000
Co 0.0000 0.0000 0.0000

***

The lowest electronic total energy belongs to which entry? TaO2F

***

What is the formula in the third record? Ac2LaPr3

***

volume of number 3 (Ac2LaPr3)? 39.2 Å³ per atom